Sr3Tl2: relaxed, PBE-GGA.

a = 5.7336 Å, b = 5.7336 Å, c = 7.0836 Å
α = 90.00°, β = 90.00°, γ = 120.00°
Last column: nearest neighbours and their distance in Å.
Fractional positions:
Sr1 0.0000 0.0000 0.0000  6 Tl 3.49
Sr2 0.3333 0.6667 0.3352  5 Tl 3.48-3.60
Sr3 0.6667 0.3333 0.6648  5 Tl 3.48-3.60
Tl1 0.3333 0.6667 0.8433  8 Sr 3.48-3.60
Tl2 0.6667 0.3333 0.1567  8 Sr 3.48-3.60

**E**: -2.26 eV/atom
**Spin magnetization**: 0.00 μB per cell
**Energy of formation from the pure elements**: -307 meV per atom
**V**: 40.33 Å³/atom
**Symmetry**: No. 164
**Energy relative to the lowest polymorph listed for this composition**: 0.0430 eV per atom